BaMo2Br | SCAN | single point on PBEsol structure

a b c (Å): 3.336 6.341 5.178
angles (deg): 90.00 90.95 90.00
Positions (direct):
Ba: 0.000 0.000 0.000
Mo: 0.268 0.500 0.158
Mo: 0.732 0.500 0.842
Br: 0.500 0.000 0.500

energy relative to the elements, uncorrected	0.49	eV/atom
ΔE to the lowest computed polymorph	352	meV/atom
magnetic moment	0.00	μB per cell
total DFT energy (no corrections)	-126.8	eV/cell

=====

BaMoBr2 | SCAN | single point on PBEsol structure

a b c (Å): 3.959 3.959 7.564
angles (deg): 90.00 90.00 90.00
Positions (direct):
Ba: 0.000 0.000 0.000
Mo: 0.000 0.000 0.500
Br: 0.500 0.500 0.238
Br: 0.500 0.500 0.762

energy relative to the elements, uncorrected	-0.34	eV/atom
ΔE to the lowest computed polymorph	11	meV/atom
magnetic moment	5.90	μB per cell
total DFT energy (no corrections)	-114.7	eV/cell

=====

Ba2MoBr | SCAN | single point on PBEsol structure

a b c (Å): 3.775 5.407 6.410
angles (deg): 90.00 90.00 90.00
Positions (direct):
Ba: 0.000 0.000 0.000
Ba: 0.500 0.500 0.500
Mo: 0.000 0.000 0.500
Br: 0.500 0.500 0.000

energy relative to the elements, uncorrected	-0.02	eV/atom
magnetic moment	2.95	μB per cell
total DFT energy (no corrections)	-133.5	eV/cell

=====

BaMo2Br | SCAN | single point on PBEsol structure

a b c (Å): 5.926 5.926 2.980
angles (deg): 90.00 90.00 123.20
Positions (direct):
Ba: 0.000 0.000 0.000
Mo: 0.000 0.500 0.500
Mo: 0.500 0.000 0.500
Br: 0.500 0.500 0.000

energy relative to the elements, uncorrected	1.47	eV/atom
ΔE to the lowest computed polymorph	1341	meV/atom
magnetic moment	0.00	μB per cell
total DFT energy (no corrections)	-122.9	eV/cell

=====

BaMo2Br | SCAN | single point on PBEsol structure

a b c (Å): 6.047 6.047 6.047
angles (deg): 147.95 119.05 70.54
Positions (direct):
Ba: 0.000 0.000 0.000
Mo: 0.316 0.816 0.500
Mo: 0.478 0.478 0.000
Br: 0.708 0.208 0.500

energy relative to the elements, uncorrected	0.57	eV/atom
ΔE to the lowest computed polymorph	432	meV/atom
magnetic moment	0.00	μB per cell
total DFT energy (no corrections)	-126.5	eV/cell

=====

BaMoBr2 | SCAN | single point on PBEsol structure

a b c (Å): 5.130 5.130 4.118
angles (deg): 90.00 90.00 90.00
Positions (direct):
Ba: 0.000 0.000 0.000
Mo: 0.500 0.500 0.000
Br: 0.000 0.500 0.500
Br: 0.500 0.000 0.500

energy relative to the elements, uncorrected	-0.35	eV/atom
ΔE to the lowest computed polymorph	0	meV/atom
magnetic moment	5.32	μB per cell
total DFT energy (no corrections)	-114.8	eV/cell

=====

Ba2BrN | SCAN | single point on PBEsol structure

a b c (Å): 6.969 6.969 6.969
angles (deg): 114.02 114.02 100.72
Positions (direct):
Ba: 0.047 0.125 0.422
Ba: 0.375 0.953 0.078
Ba: 0.703 0.625 0.578
Ba: 0.875 0.297 0.922
Br: 0.250 0.750 0.500
Br: 0.500 0.500 0.000
N: 0.000 0.000 0.000
N: 0.750 0.250 0.500

energy relative to the elements, uncorrected	-1.29	eV/atom
magnetic moment	0.00	μB per cell
total DFT energy (no corrections)	-226.0	eV/cell

=====

Ba2BrN | SCAN | single point on PBEsol structure

a b c (Å): 8.201 8.201 8.201
angles (deg): 29.03 29.03 29.03
Positions (direct):
Ba: 0.229 0.229 0.229
Ba: 0.771 0.771 0.771
Br: 0.000 0.000 0.000
N: 0.500 0.500 0.500

energy relative to the elements, uncorrected	-1.40	eV/atom
magnetic moment	0.01	μB per cell
total DFT energy (no corrections)	-113.5	eV/cell

=====

BaBrN2O | SCAN | single point on PBEsol structure

a b c (Å): 4.027 4.027 4.331
angles (deg): 90.00 90.00 90.00
Positions (direct):
Ba: 0.000 0.000 0.000
Br: 0.500 0.500 0.500
N: 0.000 0.500 0.500
N: 0.500 0.000 0.500
O: 0.500 0.500 0.000

energy relative to the elements, uncorrected	0.61	eV/atom
magnetic moment	1.03	μB per cell
total DFT energy (no corrections)	-80.8	eV/cell

=====

BaSBrN2 | SCAN | single point on PBEsol structure

a b c (Å): 5.272 5.272 6.102
angles (deg): 90.00 90.00 90.00
Positions (direct):
Ba: 0.000 0.000 0.000
S: 0.000 0.000 0.500
Br: 0.500 0.500 0.500
N: 0.000 0.500 0.000
N: 0.500 0.000 0.000

energy relative to the elements, uncorrected	1.29	eV/atom
magnetic moment	7.00	μB per cell
total DFT energy (no corrections)	-80.8	eV/cell

=====

BaS2BrN | SCAN | single point on PBEsol structure

a b c (Å): 5.039 5.039 4.270
angles (deg): 90.00 90.00 90.00
Positions (direct):
Ba: 0.000 0.000 0.000
S: 0.000 0.500 0.500
S: 0.500 0.000 0.500
Br: 0.500 0.500 0.500
N: 0.500 0.500 0.000

energy relative to the elements, uncorrected	0.24	eV/atom
ΔE to the lowest computed polymorph	0	meV/atom
magnetic moment	1.58	μB per cell
total DFT energy (no corrections)	-86.3	eV/cell

=====

BaS2BrN | SCAN | single point on PBEsol structure

a b c (Å): 6.059 6.059 5.258
angles (deg): 90.00 90.00 90.00
Positions (direct):
Ba: 0.000 0.000 0.000
S: 0.000 0.500 0.000
S: 0.500 0.000 0.000
Br: 0.500 0.500 0.500
N: 0.000 0.000 0.500

energy relative to the elements, uncorrected	0.82	eV/atom
ΔE to the lowest computed polymorph	582	meV/atom
magnetic moment	6.00	μB per cell
total DFT energy (no corrections)	-83.4	eV/cell

=====

BaSe2BrN | SCAN | single point on PBEsol structure

a b c (Å): 5.298 5.298 4.312
angles (deg): 90.00 90.00 90.00
Positions (direct):
Ba: 0.000 0.000 0.000
Se: 0.000 0.500 0.500
Se: 0.500 0.000 0.500
Br: 0.500 0.500 0.500
N: 0.500 0.500 0.000

energy relative to the elements, uncorrected	0.20	eV/atom
magnetic moment	1.70	μB per cell
total DFT energy (no corrections)	-107.4	eV/cell

=====

BaNa3Br | SCAN | single point on PBEsol structure

a b c (Å): 5.931 5.931 5.931
angles (deg): 90.00 90.00 90.00
Positions (direct):
Ba: 0.000 0.000 0.000
Na: 0.000 0.500 0.500
Na: 0.500 0.000 0.500
Na: 0.500 0.500 0.000
Br: 0.500 0.500 0.500

energy relative to the elements, uncorrected	-0.43	eV/atom
magnetic moment	1.13	μB per cell
total DFT energy (no corrections)	-73.8	eV/cell

=====

BaNa2Br | SCAN | single point on PBEsol structure

a b c (Å): 7.898 7.898 7.898
angles (deg): 99.52 99.52 132.00
Positions (direct):
Ba: 0.000 0.000 0.000
Ba: 0.750 0.250 0.500
Na: 0.195 0.125 0.570
Na: 0.375 0.805 0.930
Na: 0.555 0.625 0.430
Na: 0.875 0.445 0.070
Br: 0.250 0.750 0.500
Br: 0.500 0.500 0.000

energy relative to the elements, uncorrected	-0.70	eV/atom
magnetic moment	0.00	μB per cell
total DFT energy (no corrections)	-140.5	eV/cell